The following is a GGA-PBE calculation of a relaxed structure of LiFe, from Alexandria.

Computed properties:
M_tot in μB per cell: 14.71
Density of states at the Fermi level in states/eV per cell: 12.87
Formation energy from the elements in eV per formula unit: 0.775
Space group: P6_3/m

POSCAR file:
```
LiFe
1.0
8.868 0.000 0.000
-4.434 7.680 0.000
0.000 0.000 2.429
Li Fe
6 6
Direct
0.069 0.299 0.250
0.230 0.931 0.250
0.299 0.230 0.750
0.701 0.770 0.250
0.770 0.069 0.750
0.931 0.701 0.750
0.148 0.605 0.250
0.395 0.542 0.250
0.458 0.852 0.250
0.542 0.148 0.750
0.605 0.458 0.750
0.852 0.395 0.750
```